Record 1
Material: Ac5AlIn4
Method: DFT, PBE
State: optimized geometry

Computed properties:
* ρ: 7.934 g/cm3
* total magnetization: 0.000 μB/f.u.
* VASP energy: -3.902 eV per atom
* N(E_F): 8.95 states/eV/f.u.
* space-group type: P4/mmm
* energy relative to the elements: -0.379 eV per atom

a = 4.0533 Å, b = 4.0533 Å, c = 20.6533 Å
α = 90.00°, β = 90.00°, γ = 90.00°
Sites, in units of the cell vectors:
Ac 0.0000 0.0000 0.0000
Ac 0.0000 0.0000 0.2037
Ac 0.0000 0.0000 0.4070
Ac 0.0000 0.0000 0.5930
Ac 0.0000 0.0000 0.7963
Al 0.5000 0.5000 0.5000
In 0.5000 0.5000 0.1020
In 0.5000 0.5000 0.3053
In 0.5000 0.5000 0.6947
In 0.5000 0.5000 0.8980

---

Record 2
Material: Ac5Al2In2
Method: DFT, PBE
State: optimized geometry

Computed properties:
* ρ: 7.276 g/cm3
* total magnetization: 0.000 μB/f.u.
* VASP energy: -3.995 eV per atom
* N(E_F): 9.38 states/eV/f.u.
* space-group type: Cmce
* energy relative to the elements: -0.273 eV per atom

a = 9.8511 Å, b = 9.8511 Å, c = 8.4695 Å
α = 90.00°, β = 90.00°, γ = 51.98°
Sites, in units of the cell vectors:
Ac 0.0000 0.0000 0.0000
Ac 0.0530 0.6764 0.6786
Ac 0.1764 0.5530 0.1786
Ac 0.3236 0.9470 0.6786
Ac 0.4470 0.8236 0.1786
Ac 0.5000 0.5000 0.5000
Ac 0.5530 0.1764 0.8214
Ac 0.6764 0.0530 0.3214
Ac 0.8236 0.4470 0.8214
Ac 0.9470 0.3236 0.3214
Al 0.1086 0.8914 0.3884
Al 0.3914 0.6086 0.8884
Al 0.6086 0.3914 0.1116
Al 0.8914 0.1086 0.6116
In 0.2171 0.2171 0.0000
In 0.2829 0.2829 0.5000
In 0.7171 0.7171 0.5000
In 0.7829 0.7829 0.0000

---

Record 3
Material: Ac2Al2In3
Method: DFT, PBE
State: optimized geometry

Computed properties:
* ρ: 7.072 g/cm3
* total magnetization: 0.000 μB/f.u.
* VASP energy: -3.745 eV per atom
* N(E_F): 3.18 states/eV/f.u.
* ΔE to the lowest computed polymorph: 0 kJ/mol of formula units
* space-group type: Cmcm
* energy relative to the elements: -0.328 eV per atom

a = 10.8980 Å, b = 10.8980 Å, c = 7.7952 Å
α = 90.00°, β = 90.00°, γ = 154.38°
Sites, in units of the cell vectors:
Ac 0.0529 0.9471 0.7500
Ac 0.1645 0.8355 0.2500
Ac 0.8355 0.1645 0.7500
Ac 0.9471 0.0529 0.2500
Al 0.3237 0.6763 0.0755
Al 0.3237 0.6763 0.4245
Al 0.6763 0.3237 0.5755
Al 0.6763 0.3237 0.9245
In 0.2192 0.7808 0.7500
In 0.4390 0.5610 0.5699
In 0.4390 0.5610 0.9301
In 0.5610 0.4390 0.0699
In 0.5610 0.4390 0.4301
In 0.7808 0.2192 0.2500

---

Record 4
Material: AcAlIn3
Method: DFT, PBE
State: optimized geometry

Computed properties:
* ρ: 7.174 g/cm3
* total magnetization: 0.000 μB/f.u.
* VASP energy: -3.470 eV per atom
* N(E_F): 2.36 states/eV/f.u.
* space-group type: P1
* energy relative to the elements: -0.256 eV per atom

a = 4.7726 Å, b = 5.1791 Å, c = 6.6075 Å
α = 112.95°, β = 110.94°, γ = 90.18°
Sites, in units of the cell vectors:
Ac 0.0000 0.0000 0.0000
Al 0.3701 0.3695 0.7414
In 0.2606 0.7615 0.5241
In 0.6076 0.6079 0.2159
In 0.7459 0.2447 0.4907

---

Record 5
Material: Ac8AlIn2
Method: DFT, PBE
State: optimized geometry

Computed properties:
* ρ: 8.016 g/cm3
* total magnetization: 0.000 μB/f.u.
* VASP energy: -3.989 eV per atom
* N(E_F): 12.74 states/eV/f.u.
* space-group type: C2/m
* energy relative to the elements: -0.163 eV per atom

a = 10.7171 Å, b = 10.7171 Å, c = 7.5263 Å
α = 103.24°, β = 103.24°, γ = 30.75°
Sites, in units of the cell vectors:
Ac 0.0171 0.0171 0.2731
Ac 0.2082 0.2082 0.8079
Ac 0.3439 0.3439 0.5256
Ac 0.4084 0.4084 0.0413
Ac 0.5916 0.5916 0.9587
Ac 0.6561 0.6561 0.4744
Ac 0.7918 0.7918 0.1921
Ac 0.9829 0.9829 0.7269
Al 0.5000 0.5000 0.5000
In 0.1832 0.1832 0.2422
In 0.8168 0.8168 0.7578

---

Record 6
Material: Ac2AlIn
Method: DFT, PBE
State: optimized geometry

Computed properties:
* ρ: 7.202 g/cm3
* total magnetization: 0.001 μB/f.u.
* VASP energy: -4.028 eV per atom
* N(E_F): 3.98 states/eV/f.u.
* space-group type: P2_1/m
* energy relative to the elements: -0.353 eV per atom

a = 6.6092 Å, b = 4.5574 Å, c = 9.5879 Å
α = 90.00°, β = 107.94°, γ = 90.00°
Sites, in units of the cell vectors:
Ac 0.2049 0.2500 0.4247
Ac 0.2784 0.7500 0.0668
Ac 0.7216 0.2500 0.9332
Ac 0.7951 0.7500 0.5753
Al 0.1518 0.2500 0.7842
Al 0.8482 0.7500 0.2158
In 0.3585 0.7500 0.7152
In 0.6415 0.2500 0.2848

---

Record 7
Material: AcLa2Al2In2
Method: DFT, PBE
State: optimized geometry

Computed properties:
* ρ: 6.509 g/cm3
* total magnetization: 0.000 μB/f.u.
* VASP energy: -4.158 eV per atom
* N(E_F): 5.13 states/eV/f.u.
* space-group type: R-3m
* energy relative to the elements: -0.312 eV per atom

a = 10.6566 Å, b = 10.6566 Å, c = 10.6566 Å
α = 25.75°, β = 25.75°, γ = 25.75°
Sites, in units of the cell vectors:
Ac 0.0000 0.0000 0.0000
La 0.1359 0.1359 0.1359
La 0.8641 0.8641 0.8641
Al 0.4099 0.4099 0.4099
Al 0.5901 0.5901 0.5901
In 0.2598 0.2598 0.2598
In 0.7402 0.7402 0.7402

---

Record 8
Material: AcLaAlIn
Method: DFT, PBE
State: optimized geometry

Computed properties:
* ρ: 6.761 g/cm3
* total magnetization: 0.000 μB/f.u.
* VASP energy: -4.229 eV per atom
* N(E_F): 2.51 states/eV/f.u.
* space-group type: F-43m
* energy relative to the elements: -0.350 eV per atom

a = 7.9304 Å, b = 7.9304 Å, c = 7.9304 Å
α = 90.00°, β = 90.00°, γ = 90.00°
Sites, in units of the cell vectors:
Ac 0.0000 0.0000 0.0000
Ac 0.0000 0.5000 0.5000
Ac 0.5000 0.0000 0.5000
Ac 0.5000 0.5000 0.0000
La 0.0000 0.0000 0.5000
La 0.0000 0.5000 0.0000
La 0.5000 0.0000 0.0000
La 0.5000 0.5000 0.5000
Al 0.2500 0.2500 0.7500
Al 0.2500 0.7500 0.2500
Al 0.7500 0.2500 0.2500
Al 0.7500 0.7500 0.7500
In 0.2500 0.2500 0.2500
In 0.2500 0.7500 0.7500
In 0.7500 0.2500 0.7500
In 0.7500 0.7500 0.2500